Here is an optimized crystal structure of Pm2HgN from the Alexandria database. Energies are from GGA-PBE.

Results
Size of the total moment, Bohr magnetons per cell: 0.0
Raw formation energy, eV/atom: -0.95
Energy, eV per atom: -5.480
V, A^3/atom: 22.1
ΔE to the lowest computed polymorph, meV per atom: 0

a b c (Å): 3.562 19.429 5.100
angles (deg): 90.00 90.00 90.00
Space group Cmcm (No. 63)
Asymmetric unit:
Pm 0.000 0.109 0.250 x4
Pm 0.000 0.289 0.250 x4
Hg 0.000 0.456 0.250 x4
N 0.000 0.302 0.750 x4